Sm2CoSbO6 | Alexandria via LeMat-Bulk | PBE with a Hubbard U | relaxed; SG = P2_1/c, No. 14; total energy = -7.12 eV/atom; Fermi-level density of states = 0.21 states/eV/atom
1.0
-1.416 -2.544 -4.718
5.474 -2.062 -0.530
-2.136 -6.703 4.017
Sm Co Sb O
4 2 2 12
Cartesian
4.527 -3.680 0.405
0.758 -7.553 0.248
-2.605 -7.630 -1.637
1.164 -3.757 -1.479
-0.708 -1.272 -2.359
1.669 -4.383 1.743
-1.776 -4.624 -0.350
2.737 -1.031 -0.265
3.245 -2.624 -1.580
2.059 -7.470 -1.988
-1.323 -8.685 0.349
-0.137 -3.839 0.757
2.471 -5.120 -0.078
1.249 -9.953 -0.483
-0.549 -6.189 -1.153
0.673 -1.357 -0.749
1.248 -5.030 -3.416
3.063 -7.929 0.741
0.674 -6.280 2.185
-1.141 -3.380 -1.972